1.
The following is a SCAN calculation of a crystal of KCrCl relaxed with PBEsol, from the Alexandria database.

```
KCrCl
1.0
4.407 0.000 0.000
-2.203 3.816 0.000
0.000 0.000 5.169
K Cr Cl
1 1 1
Direct
0.000 0.000 0.000
0.667 0.333 0.500
0.333 0.667 0.500
```

=====

2.
The following is a SCAN calculation of a crystal of KCrCl relaxed with PBEsol, from the Alexandria database.

```
KCrCl
1.0
7.280 0.000 0.000
0.000 7.280 0.000
0.000 0.000 7.280
K Cr Cl
4 4 4
Direct
0.000 0.000 0.000
0.000 0.500 0.500
0.500 0.000 0.500
0.500 0.500 0.000
0.250 0.250 0.750
0.250 0.750 0.250
0.750 0.250 0.250
0.750 0.750 0.750
0.000 0.000 0.500
0.000 0.500 0.000
0.500 0.000 0.000
0.500 0.500 0.500
```

=====

Most stable: 1

=====

1.
The following is a SCAN calculation of a crystal of LiCrCl relaxed with PBEsol, from the Alexandria database.

```
LiCrCl
1.0
3.102 0.000 0.000
0.000 3.102 0.000
0.000 0.000 11.002
Li Cr Cl
2 2 2
Direct
0.000 0.000 0.000
0.500 0.500 0.500
0.000 0.000 0.293
0.500 0.500 0.793
0.000 0.000 0.623
0.500 0.500 0.123
```

=====

2.
The following is a SCAN calculation of a crystal of LiCrCl relaxed with PBEsol, from the Alexandria database.

```
LiCrCl
1.0
4.386 0.000 0.000
-2.193 3.799 0.000
0.000 0.000 3.414
Li Cr Cl
1 1 1
Direct
0.000 0.000 0.000
0.333 0.667 0.500
0.667 0.333 0.500
```

=====

Most stable: 1

=====

1.
The following is a SCAN calculation of a crystal of LiCr2Cl relaxed with PBEsol, from the Alexandria database.

```
LiCr2Cl
1.0
7.096 0.000 0.000
0.000 7.096 0.000
0.000 0.000 4.182
Li Cr Cl
4 8 4
Direct
0.000 0.000 0.000
0.000 0.500 0.250
0.500 0.000 0.750
0.500 0.500 0.500
0.171 0.750 0.625
0.250 0.171 0.375
0.250 0.329 0.875
0.329 0.750 0.125
0.671 0.250 0.125
0.750 0.671 0.875
0.750 0.829 0.375
0.829 0.250 0.625
0.000 0.000 0.500
0.000 0.500 0.750
0.500 0.000 0.250
0.500 0.500 0.000
```

=====

2.
The following is a SCAN calculation of a crystal of LiCr2Cl relaxed with PBEsol, from the Alexandria database.

```
LiCr2Cl
1.0
3.063 0.000 0.000
0.000 3.099 0.000
0.000 0.000 12.076
Li Cr Cl
2 4 2
Direct
0.000 0.000 0.000
0.000 0.500 0.500
0.000 0.000 0.763
0.000 0.500 0.263
0.500 0.000 0.352
0.500 0.500 0.852
0.500 0.000 0.567
0.500 0.500 0.067
```

=====

Most stable: 2

=====

1.
The following is a SCAN calculation of a crystal of Mg2CrCl relaxed with PBEsol, from the Alexandria database.

```
Mg2CrCl
1.0
3.196 0.000 0.000
0.000 4.891 0.000
-0.008 0.000 5.027
Mg Cr Cl
2 1 1
Direct
0.000 0.000 0.000
0.001 0.500 0.619
0.501 0.000 0.508
0.500 0.500 0.225
```

=====

2.
The following is a SCAN calculation of a crystal of Mg2CrCl relaxed with PBEsol, from the Alexandria database.

```
Mg2CrCl
1.0
4.118 0.000 0.000
0.000 4.118 0.000
0.000 0.000 9.505
Mg Cr Cl
4 2 2
Direct
0.000 0.500 0.250
0.000 0.500 0.750
0.500 0.000 0.250
0.500 0.000 0.750
0.000 0.000 0.000
0.500 0.500 0.500
0.000 0.000 0.500
0.500 0.500 0.000
```

=====

3.
The following is a SCAN calculation of a crystal of Mg2CrCl relaxed with PBEsol, from the Alexandria database.

```
Mg2CrCl
1.0
3.403 0.000 0.000
0.000 5.399 0.000
0.000 0.000 8.705
Mg Cr Cl
4 2 2
Direct
0.000 0.000 0.000
0.000 0.500 0.288
0.500 0.000 0.288
0.500 0.500 0.000
0.000 0.000 0.542
0.500 0.500 0.542
0.000 0.500 0.766
0.500 0.000 0.766
```

=====

Most stable: 3

=====

1.
The following is a SCAN calculation of a crystal of MgCrPCl2 relaxed with PBEsol, from the Alexandria database.

```
MgCrPCl2
1.0
4.536 0.000 0.000
0.000 4.536 0.000
0.000 0.000 5.559
Mg Cr P Cl
1 1 1 2
Direct
0.000 0.000 0.000
0.500 0.500 0.500
0.000 0.000 0.500
0.000 0.500 0.000
0.500 0.000 0.000
```

=====

2.
The following is a SCAN calculation of a crystal of MgCrPCl2 relaxed with PBEsol, from the Alexandria database.

```
MgCrPCl2
1.0
4.602 0.000 0.000
0.000 4.602 0.000
0.000 0.000 4.825
Mg Cr P Cl
1 1 1 2
Direct
0.000 0.000 0.000
0.500 0.500 0.500
0.500 0.500 0.000
0.000 0.500 0.500
0.500 0.000 0.500
```

=====

Most stable: 2

=====

1.
The following is a SCAN calculation of a crystal of Cr2NiCl relaxed with PBEsol, from the Alexandria database.

```
Cr2NiCl
1.0
2.912 0.000 0.000
0.000 3.190 0.000
0.000 0.000 6.065
Cr Ni Cl
2 1 1
Direct
0.000 0.000 0.174
0.000 0.000 0.826
0.500 0.500 0.000
0.500 0.000 0.500
```

=====

2.
The following is a SCAN calculation of a crystal of Cr2NiCl relaxed with PBEsol, from the Alexandria database.

```
Cr2NiCl
1.0
5.653 0.000 0.000
0.000 5.653 0.000
0.000 0.000 5.653
Cr Ni Cl
8 4 4
Direct
0.250 0.250 0.250
0.250 0.250 0.750
0.250 0.750 0.250
0.250 0.750 0.750
0.750 0.250 0.250
0.750 0.250 0.750
0.750 0.750 0.250
0.750 0.750 0.750
0.000 0.000 0.000
0.000 0.500 0.500
0.500 0.000 0.500
0.500 0.500 0.000
0.000 0.000 0.500
0.000 0.500 0.000
0.500 0.000 0.000
0.500 0.500 0.500
```

=====

Most stable: 1